Compound: Rb2FeIF6
Source: Alexandria
Functional: PBE+U
Structure: relaxed

Structure (CIF):
```
data_Rb2FeIF6
_chemical_formula_sum 'Rb4 Fe2 I2 F12'
_cell_length_a 7.189
_cell_length_b 7.189
_cell_length_c 8.368
_cell_angle_alpha 90.00
_cell_angle_beta 90.00
_cell_angle_gamma 90.00
_symmetry_space_group_name_H-M 'I 4/m m m'
_symmetry_Int_Tables_number 139
_symmetry_space_group_name_Hall '-I 4 2'
loop_
_atom_site_label
_atom_site_fract_x
_atom_site_fract_y
_atom_site_fract_z
Rb1 0.000 0.500 0.250
Fe1 0.000 0.000 0.000
I1 0.000 0.000 0.500
F1 0.000 0.000 0.246
F2 0.188 0.188 0.000
```

Its density of states at the Fermi level is 0.00 states/eV/cell. The calculated density comes out at 3.6 g cm⁻³. As for the total magnetic moment: 10.00 μB/cell. For the energy, the calculation gives -4.257 eV per atom. Its volume is 21.63 Å³ per atom.